This record from the Alexandria database describes a relaxed structure of Hf5MgN6. The functional is PBE.

a b c (Å): 5.5222 5.5222 5.5349
angles (deg): 99.60 99.60 119.95
Fractional coordinates of all 12 atoms:
Hf 0.0000 0.0000 0.0000
Hf 0.1659 0.8341 0.5000
Hf 0.3371 0.6629 0.0000
Hf 0.6629 0.3371 0.0000
Hf 0.8341 0.1659 0.5000
Mg 0.5000 0.5000 0.5000
N 0.0861 0.4175 0.2495
N 0.2534 0.2534 0.7438
N 0.4175 0.0861 0.2495
N 0.5825 0.9139 0.7505
N 0.7466 0.7466 0.2562
N 0.9139 0.5825 0.7505

## Properties
* uncorrected formation energy: -1681 meV/atom